First-principles (PBE) data for a relaxed structure of YCoTc2, as listed in Alexandria.

Calculated values
mass density = 8.46 g cm⁻³
E_tot = -33.38 eV for the cell shown
space-group type = Pm (6)
crystal system = monoclinic
formation energy from the elements = 0.92 eV/f.u.
distance to the lowest polymorph of the same formula = 0.49 eV/f.u.

a = 3.009 Å, b = 4.179 Å, c = 5.483 Å
α = 90.00°, β = 101.97°, γ = 90.00°
Element x y z (fractional)
Y (0.000, 0.000, 0.000)
Co (0.583, 0.500, 0.219)
Tc (0.267, 0.500, 0.613)
Tc (0.639, 0.000, 0.486)

***

First-principles (PBE) data for a relaxed structure of AlAg3F, as listed in Alexandria.

Calculated values
mass density = 5.20 g cm⁻³
ΔE_f (raw) = 0.309 eV/atom
E_tot = -12.62 eV for the cell shown
space-group type = Pm-3m (221)
crystal system = cubic
distance to the lowest polymorph of the same formula = 1.36 eV/f.u.

a = 4.905 Å, b = 4.905 Å, c = 4.905 Å
α = 90.00°, β = 90.00°, γ = 90.00°
Element x y z (fractional)
Al (0.000, 0.000, 0.000)
Ag (0.000, 0.000, 0.500)
Ag (0.000, 0.500, 0.000)
Ag (0.500, 0.000, 0.000)
F (0.500, 0.500, 0.500)

***

First-principles (PBE) data for a relaxed structure of Sm5Zr3Ni16As12, as listed in Alexandria.

Calculated values
mass density = 8.38 g cm⁻³
E_tot = -227.73 eV for the cell shown
space-group type = P-62m (189)
crystal system = hexagonal
formation energy from the elements = -30.19 eV/f.u.

a = 12.827 Å, b = 12.827 Å, c = 3.983 Å
α = 90.00°, β = 90.00°, γ = 120.00°
Element x y z (fractional)
Sm (0.000, 0.813, 0.000)
Sm (0.187, 0.187, 0.000)
Sm (0.333, 0.667, 0.500)
Sm (0.667, 0.333, 0.500)
Sm (0.813, 0.000, 0.000)
Zr (0.000, 0.432, 0.500)
Zr (0.432, 0.000, 0.500)
Zr (0.568, 0.568, 0.500)
Ni (0.000, 0.000, 0.500)
Ni (0.000, 0.275, 0.000)
Ni (0.120, 0.635, 0.000)
Ni (0.186, 0.378, 0.500)
Ni (0.192, 0.814, 0.500)
Ni (0.275, 0.000, 0.000)
Ni (0.365, 0.485, 0.000)
Ni (0.378, 0.186, 0.500)
Ni (0.485, 0.365, 0.000)
Ni (0.515, 0.880, 0.000)
Ni (0.622, 0.808, 0.500)
Ni (0.635, 0.120, 0.000)
Ni (0.725, 0.725, 0.000)
Ni (0.808, 0.622, 0.500)
Ni (0.814, 0.192, 0.500)
Ni (0.880, 0.515, 0.000)
As (0.000, 0.179, 0.500)
As (0.000, 0.639, 0.500)
As (0.172, 0.476, 0.000)
As (0.179, 0.000, 0.500)
As (0.304, 0.828, 0.000)
As (0.361, 0.361, 0.500)
As (0.476, 0.172, 0.000)
As (0.524, 0.696, 0.000)
As (0.639, 0.000, 0.500)
As (0.696, 0.524, 0.000)
As (0.821, 0.821, 0.500)
As (0.828, 0.304, 0.000)

***

Q: Which formula does entry 3 have?
A: Sm5Zr3Ni16As12